Record 1
# Nd2Ga2Co

A relaxed structure of Nd2Ga2Co (PBE-GGA, Alexandria).

Summary:
- Relative energy among the computed polymorphs: 0 meV per atom

a = 5.798 Å, b = 5.798 Å, c = 10.526 Å
α = 116.42°, β = 116.42°, γ = 44.85°
Fractional positions:
Nd  0.085  0.085  0.389
Nd  0.328  0.328  0.829
Nd  0.672  0.672  0.171
Nd  0.915  0.915  0.611
Ga  0.093  0.093  0.937
Ga  0.377  0.377  0.372
Ga  0.623  0.623  0.628
Ga  0.907  0.907  0.063
Co  0.346  0.346  0.119
Co  0.654  0.654  0.881

Record 2
# Nd3GaCo2

A relaxed structure of Nd3GaCo2 (PBE-GGA, Alexandria).

a = 7.858 Å, b = 8.679 Å, c = 10.133 Å
α = 90.00°, β = 123.96°, γ = 90.00°
Fractional positions:
Nd  0.243  0.037  0.418
Nd  0.243  0.463  0.918
Nd  0.244  0.037  0.915
Nd  0.244  0.463  0.415
Nd  0.251  0.748  0.661
Nd  0.251  0.752  0.161
Nd  0.749  0.248  0.839
Nd  0.749  0.252  0.339
Nd  0.756  0.537  0.585
Nd  0.756  0.963  0.085
Nd  0.757  0.537  0.082
Nd  0.757  0.963  0.582
Ga  0.290  0.248  0.191
Ga  0.290  0.252  0.691
Ga  0.710  0.748  0.309
Ga  0.710  0.752  0.809
Co  0.020  0.750  0.311
Co  0.020  0.750  0.811
Co  0.499  0.000  0.751
Co  0.499  0.500  0.251
Co  0.501  0.000  0.249
Co  0.501  0.500  0.749
Co  0.980  0.250  0.189
Co  0.980  0.250  0.689

Record 3
# Nd4GaCo2

A relaxed structure of Nd4GaCo2 (PBE-GGA, Alexandria).

Summary:
- Relative energy among the computed polymorphs: 0 meV per atom

a = 9.190 Å, b = 9.190 Å, c = 9.190 Å
α = 30.54°, β = 30.54°, γ = 30.54°
Fractional positions:
Nd  0.116  0.116  0.116
Nd  0.294  0.294  0.294
Nd  0.706  0.706  0.706
Nd  0.884  0.884  0.884
Ga  0.500  0.500  0.500
Co  0.408  0.408  0.408
Co  0.592  0.592  0.592

Record 4
# Nd3GaCo

A relaxed structure of Nd3GaCo (PBE-GGA, Alexandria).

Summary:
- Relative energy among the computed polymorphs: 188 meV per atom

a = 5.227 Å, b = 5.227 Å, c = 5.227 Å
α = 90.00°, β = 90.00°, γ = 90.00°
Fractional positions:
Nd  0.000  0.000  0.500
Nd  0.000  0.500  0.000
Nd  0.500  0.000  0.000
Ga  0.500  0.500  0.500
Co  0.000  0.000  0.000

Record 5
# Nd2Ga5Co3

A relaxed structure of Nd2Ga5Co3 (PBE-GGA, Alexandria).

a = 8.432 Å, b = 8.432 Å, c = 8.432 Å
α = 108.43°, β = 84.59°, γ = 141.09°
Fractional positions:
Nd  0.140  0.225  0.365
Nd  0.360  0.725  0.084
Nd  0.640  0.275  0.916
Nd  0.860  0.775  0.635
Ga  0.042  0.750  0.292
Ga  0.087  0.672  0.759
Ga  0.250  0.250  0.000
Ga  0.413  0.172  0.585
Ga  0.458  0.750  0.708
Ga  0.542  0.250  0.292
Ga  0.587  0.828  0.415
Ga  0.750  0.750  0.000
Ga  0.913  0.328  0.241
Ga  0.958  0.250  0.708
Co  0.147  0.909  0.056
Co  0.250  0.750  0.500
Co  0.353  0.409  0.763
Co  0.647  0.591  0.237
Co  0.750  0.250  0.500
Co  0.853  0.091  0.944

Record 6
# Nd3GaCo

A relaxed structure of Nd3GaCo (PBE-GGA, Alexandria).

Summary:
- Relative energy among the computed polymorphs: 0 meV per atom

a = 6.123 Å, b = 6.123 Å, c = 8.617 Å
α = 111.19°, β = 111.19°, γ = 63.83°
Fractional positions:
Nd  0.017  0.017  0.224
Nd  0.296  0.296  0.667
Nd  0.314  0.314  0.137
Nd  0.686  0.686  0.863
Nd  0.704  0.704  0.333
Nd  0.983  0.983  0.776
Ga  0.297  0.703  0.500
Ga  0.703  0.297  0.500
Co  0.320  0.680  0.000
Co  0.680  0.320  0.000

Record 7
# NdGa6Co2

A relaxed structure of NdGa6Co2 (PBE-GGA, Alexandria).

a = 8.120 Å, b = 8.120 Å, c = 8.120 Å
α = 60.00°, β = 60.00°, γ = 60.00°
Fractional positions:
Nd  0.125  0.125  0.125
Nd  0.875  0.875  0.875
Ga  0.151  0.151  0.599
Ga  0.151  0.599  0.151
Ga  0.151  0.599  0.599
Ga  0.401  0.401  0.849
Ga  0.401  0.849  0.401
Ga  0.401  0.849  0.849
Ga  0.599  0.151  0.151
Ga  0.599  0.151  0.599
Ga  0.599  0.599  0.151
Ga  0.849  0.401  0.401
Ga  0.849  0.401  0.849
Ga  0.849  0.849  0.401
Co  0.000  0.500  0.500
Co  0.500  0.000  0.500
Co  0.500  0.500  0.000
Co  0.500  0.500  0.500

Record 8
# Nd2Ga2Co

A relaxed structure of Nd2Ga2Co (PBE-GGA, Alexandria).

Summary:
- Relative energy among the computed polymorphs: 4 meV per atom

a = 6.075 Å, b = 6.075 Å, c = 11.838 Å
α = 115.84°, β = 115.84°, γ = 35.74°
Fractional positions:
Nd  0.095  0.095  0.382
Nd  0.280  0.280  0.858
Nd  0.720  0.720  0.142
Nd  0.905  0.905  0.618
Ga  0.029  0.029  0.908
Ga  0.378  0.378  0.386
Ga  0.622  0.622  0.614
Ga  0.971  0.971  0.092
Co  0.430  0.430  0.199
Co  0.570  0.570  0.801

Record 9
# Nd2Ga6Co

A relaxed structure of Nd2Ga6Co (PBE-GGA, Alexandria).

Summary:
- Relative energy among the computed polymorphs: 0 meV per atom

a = 6.228 Å, b = 6.228 Å, c = 6.228 Å
α = 60.00°, β = 60.00°, γ = 60.00°
Fractional positions:
Nd  0.250  0.250  0.250
Nd  0.750  0.750  0.750
Ga  0.223  0.223  0.777
Ga  0.223  0.777  0.223
Ga  0.223  0.777  0.777
Ga  0.777  0.223  0.223
Ga  0.777  0.223  0.777
Ga  0.777  0.777  0.223
Co  0.500  0.500  0.500

Record 10
# Nd4Ga3Co

A relaxed structure of Nd4Ga3Co (PBE-GGA, Alexandria).

a = 4.273 Å, b = 4.332 Å, c = 10.814 Å
α = 90.00°, β = 90.00°, γ = 90.00°
Fractional positions:
Nd  0.000  0.000  0.000
Nd  0.000  0.500  0.468
Nd  0.500  0.000  0.694
Nd  0.500  0.500  0.197
Ga  0.000  0.500  0.768
Ga  0.500  0.000  0.398
Ga  0.500  0.500  0.913
Co  0.000  0.000  0.276

Record 11
# Nd4GaCo2

A relaxed structure of Nd4GaCo2 (PBE-GGA, Alexandria).

Summary:
- Relative energy among the computed polymorphs: 86 meV per atom

a = 5.596 Å, b = 5.596 Å, c = 18.731 Å
α = 90.00°, β = 90.00°, γ = 137.62°
Fractional positions:
Nd  0.000  0.000  0.000
Nd  0.000  0.000  0.500
Nd  0.291  0.709  0.630
Nd  0.291  0.709  0.870
Nd  0.424  0.576  0.250
Nd  0.576  0.424  0.750
Nd  0.709  0.291  0.130
Nd  0.709  0.291  0.370
Ga  0.140  0.860  0.250
Ga  0.860  0.140  0.750
Co  0.281  0.719  0.020
Co  0.281  0.719  0.480
Co  0.719  0.281  0.520
Co  0.719  0.281  0.980

Record 12
# Nd4GaCo3

A relaxed structure of Nd4GaCo3 (PBE-GGA, Alexandria).

a = 4.151 Å, b = 4.181 Å, c = 10.683 Å
α = 90.00°, β = 90.00°, γ = 90.00°
Fractional positions:
Nd  0.000  0.000  0.000
Nd  0.000  0.500  0.279
Nd  0.500  0.000  0.483
Nd  0.500  0.500  0.772
Ga  0.000  0.000  0.692
Co  0.000  0.500  0.567
Co  0.500  0.000  0.186
Co  0.500  0.500  0.093

Number 1: E_form -0.46 eV per atom. Number 2: E_form -0.13 eV per atom. Number 3: E_form -0.12 eV per atom. Number 4: E_form -0.05 eV per atom. Number 5: E_form -0.47 eV per atom. Number 6: E_form -0.24 eV per atom. Number 7: E_form 0.09 eV per atom. Number 8: E_form -0.45 eV per atom. Number 9: E_form -0.56 eV per atom. Number 10: E_form -0.44 eV per atom. Number 11: E_form -0.03 eV per atom. Number 12: E_form -0.18 eV per atom.